# Sr8Ag2Pt

Crystalline Sr8Ag2Pt at its relaxed geometry (PBE, Alexandria).

Structure (extended XYZ):
```
11
Lattice="-4.6185 0.9787 -2.8865 -2.1292 -7.2908 0.9347 -1.7193 4.4410 9.5608" Properties=species:S:1:pos:R:3 pbc="T T T"
Sr -4.5671 -0.1924 7.2423
Sr -5.6247 -5.0419 1.9862
Sr -6.0538 -1.6314 3.8291
Sr -6.4931 3.6744 6.3311
Sr -2.4132 -0.2397 3.7800
Sr -2.8423 3.1708 5.6229
Sr -3.8999 -1.6787 0.3668
Sr -1.9739 -5.5454 1.2780
Ag -5.3947 1.5920 3.8676
Ag -3.0723 -3.4631 3.7415
Pt -2.3092 0.4894 -1.4432
```

Output
space-group type = C2/m, No. 12
ΔE to the lowest computed polymorph = 60.4 meV per atom
energy relative to the elements = -0.24 eV per atom